20
Lattice="-4.0530 2.4728 3.0818 -7.0934 -6.4504 1.0449 -0.2805 -4.5643 8.4914" Properties=species:S:1:pos:R:3 comment="K2B3S5, optimized geometry, DFT PBE-GGA" m_tot_mub_per_atom=0.026 e_form_raw_ev_per_atom=-0.322 vol_a3_per_atom=22.25 pbc="T T T"
K -5.2624 -4.1225 1.5852
K -3.1758 -1.7475 7.6217
K -6.1646 -4.4194 11.0330
K -8.2512 -6.7944 4.9965
B -6.0389 -5.6827 7.0138
B -8.1130 -4.4594 8.5027
B -5.3880 -2.8592 5.6044
B -3.3140 -4.0825 4.1154
B -1.0133 0.6182 0.7705
B -3.0398 1.8546 2.3114
S -3.1852 -4.3633 9.7084
S -10.6871 -4.6428 5.2646
S -8.2418 -4.1786 2.9098
S -0.7399 -3.8991 7.3536
S -7.3402 -6.1440 8.2718
S -4.0868 -2.3979 4.3464
S -6.7267 -3.6527 7.0795
S -4.7002 -4.8891 5.5386
S -6.1133 -1.1615 5.8873
S -5.3137 -7.3804 6.7309

***

28
Lattice="-4.5470 -1.8368 -3.9082 7.0203 -1.3795 -7.5196 4.3417 -11.8947 0.5390" Properties=species:S:1:pos:R:3 comment="K3BS3, optimized geometry, DFT PBE-GGA" polymorph_energy_kj_per_mol_fu=0 m_tot_mub_per_atom=0.000 e_form_raw_ev_per_atom=-1.050 vol_a3_per_atom=27.85 pbc="T T T"
K 1.7012 -6.7859 -6.3669
K 2.9153 -2.3889 -4.8151
K 5.1137 -8.3251 -4.5219
K 3.8997 -12.7221 -6.0736
K 1.8989 -3.8894 -8.9298
K 1.8394 -5.6401 -3.0069
K 4.9160 -11.2216 -1.9589
K 4.9755 -9.4709 -7.8819
K -1.3322 -2.9477 -2.8906
K 7.5312 -5.5878 -6.9312
K 8.1471 -12.1633 -7.9981
K -0.7163 -9.5232 -3.9576
B -1.1637 -4.8606 -5.4022
B 4.4572 -4.8486 -6.9168
B 7.9786 -10.2504 -5.4865
B 2.3577 -10.2624 -3.9720
S 0.2972 -3.8856 -5.9394
S 4.4613 -5.2318 -5.1205
S 6.5177 -11.2254 -4.9494
S 2.3537 -9.8792 -5.7682
S -0.9341 -6.4007 -4.4302
S 4.6934 -3.1204 -7.4884
S 7.7490 -8.7103 -6.4585
S 2.1215 -11.9906 -3.4003
S 2.5303 -8.9238 -2.7192
S 5.1414 -12.6654 -9.0295
S 4.2846 -6.1872 -8.1695
S 1.6735 -2.4456 -1.8592

***

11
Lattice="-0.1560 -2.6006 -6.0348 5.7757 1.1689 2.9267 -3.5294 -6.5352 2.9075" Properties=species:S:1:pos:R:3 comment="K2B2SbS6, optimized geometry, DFT PBE-GGA" m_tot_mub_per_atom=0.000 e_form_raw_ev_per_atom=-0.525 vol_a3_per_atom=24.54 pbc="T T T"
K 1.5085 -2.6095 -2.4943
K 0.5818 -5.3575 2.2936
B 2.4088 -6.0158 -1.0497
B -0.3185 -1.9511 0.8490
Sb -1.8427 -4.5679 -1.5637
S 0.6347 -5.6852 -1.1463
S 4.4935 -0.9541 2.2279
S -2.3189 -5.6086 0.8300
S -2.4032 -7.0128 -2.4285
S 4.4093 -2.3583 -1.0307
S 1.4556 -2.2818 0.9456

***

11
Lattice="9.0295 0.0193 -0.3247 4.5369 6.0000 0.2356 0.0814 -2.8595 5.6225" Properties=species:S:1:pos:R:3 comment="KB2Sb2S6, optimized geometry, DFT PBE-GGA" m_tot_mub_per_atom=0.000 e_form_raw_ev_per_atom=-0.427 vol_a3_per_atom=28.60 pbc="T T T"
K 4.5555 -1.4201 2.6489
B 5.6637 2.2863 4.6852
B 7.9842 0.8735 0.8483
Sb 8.7854 -0.1630 4.1884
Sb 4.8625 3.3228 1.3450
S 6.6174 4.8365 0.5540
S 9.4143 1.9235 1.0794
S 6.0891 3.7634 3.7026
S 4.2335 1.2363 4.4541
S 7.5587 -0.6036 1.8309
S 7.0305 -1.6767 4.9794